# LiPmNp2Te4

A relaxed LiPmNp2Te4 crystal (GGA-PBE, Alexandria).

Cell: 4.3907 7.6850 7.6228 Å, 109.63 90.00 90.00°
Last column: nearest neighbours and their distance in Å.
Fractional coordinates of all 8 atoms:
Pm 0.0000 0.0000 0.0000  6 Te 3.13
Np 0.0000 0.5000 0.5000  6 Te 3.09-3.12
Li 0.5000 0.5000 0.0000  6 Te 3.06-3.07
Np 0.5000 0.0000 0.5000  6 Te 3.16-3.19
Te 0.5000 0.7419 0.7516  1 Li 3.07, 3 Np 3.09-3.19, 2 Pm 3.13
Te 0.0000 0.7416 0.2425  2 Li 3.06, 3 Np 3.12-3.16, 1 Pm 3.13
Te 0.0000 0.2584 0.7575  2 Li 3.06, 3 Np 3.12-3.16, 1 Pm 3.13
Te 0.5000 0.2581 0.2484  1 Li 3.07, 3 Np 3.09-3.19, 2 Pm 3.13

Values from the calculation:
**Uncorrected formation energy**: -879.9 meV/atom
**SG**: P2/m, No. 10
**N(E_F)**: 3.161 states/eV/atom